Entry 1:
{
  "formula": "NbCuSe2",
  "functional": "PBE",
  "state": "optimized geometry",
  "e_tot_ev_per_atom": -5.4838,
  "m_tot_mub_per_cell": 3.89,
  "n_ef_per_ev_atom": 0.3747,
  "lattice_angstrom": [[5.707, 0.000, 0.000], [0.000, 5.707, 0.000], [2.853, 2.853, 5.858]],
  "species": ["Nb", "Nb", "Cu", "Cu", "Se", "Se", "Se", "Se"],
  "frac_coords": [[0.000, 0.000, 0.000], [0.750, 0.250, 0.500], [0.500, 0.500, 0.000], [0.250, 0.750, 0.500], [0.608, 0.125, 0.250], [0.142, 0.625, 0.250], [0.375, 0.392, 0.750], [0.875, 0.858, 0.750]]
}

Entry 2:
{
  "formula": "ZrGa3C",
  "functional": "PBE",
  "state": "optimized geometry",
  "de_polymorph_ev_per_atom": 0.000,
  "e_tot_ev_per_atom": -4.7446,
  "m_tot_mub_per_cell": 0.00,
  "n_ef_per_ev_atom": 0.7449,
  "lattice_angstrom": [[4.337, 0.000, 0.000], [0.000, 4.337, 0.000], [0.000, 0.000, 4.337]],
  "species": ["C", "Ga", "Ga", "Ga", "Zr"],
  "frac_coords": [[0.000, 0.000, 0.000], [0.000, 0.500, 0.000], [0.000, 0.000, 0.500], [0.500, 0.000, 0.000], [0.500, 0.500, 0.500]]
}

Entry 3:
{
  "formula": "AgCl2",
  "functional": "PBE",
  "state": "optimized geometry",
  "e_tot_ev_per_atom": -2.2125,
  "m_tot_mub_per_cell": 0.90,
  "n_ef_per_ev_atom": 1.3670,
  "lattice_angstrom": [[-0.044, -0.113, 7.225], [3.844, -2.135, 5.734], [-0.821, 3.171, -6.441]],
  "species": ["Ag", "Cl", "Cl"],
  "frac_coords": [[0.500, 0.500, 0.000], [0.119, 0.119, 0.000], [0.881, 0.881, 0.000]]
}

Entry 4:
{
  "formula": "Dy2ErHgC",
  "functional": "PBE",
  "state": "optimized geometry",
  "e_tot_ev_per_atom": -5.0382,
  "m_tot_mub_per_cell": 0.02,
  "n_ef_per_ev_atom": 1.4590,
  "lattice_angstrom": [[-2.851, 2.581, -2.901], [-1.770, -4.151, -1.954], [-3.547, -0.091, 3.405]],
  "species": ["Dy", "Dy", "Er", "Hg", "C"],
  "frac_coords": [[0.000, 0.000, 0.500], [0.000, 0.500, 0.000], [0.500, 0.000, 0.000], [0.500, 0.500, 0.500], [0.000, 0.000, 0.000]]
}

Entry 5:
{
  "formula": "LiPmTmCd",
  "functional": "PBE",
  "state": "optimized geometry",
  "e_tot_ev_per_atom": -3.1234,
  "m_tot_mub_per_cell": 0.00,
  "n_ef_per_ev_atom": 1.3312,
  "lattice_angstrom": [[5.294, 0.000, 0.000], [2.647, 4.584, 0.000], [2.647, 1.528, 4.322]],
  "species": ["Cd", "Tm", "Li", "Pm"],
  "frac_coords": [[0.750, 0.750, 0.750], [0.000, 0.000, 0.000], [0.250, 0.250, 0.250], [0.500, 0.500, 0.500]]
}

Entry 6:
{
  "formula": "Mg2CdHg4",
  "functional": "PBE",
  "state": "optimized geometry",
  "de_polymorph_ev_per_atom": 0.086,
  "e_tot_ev_per_atom": -0.7439,
  "m_tot_mub_per_cell": 0.00,
  "n_ef_per_ev_atom": 0.4092,
  "lattice_angstrom": [[5.499, 0.000, 0.000], [0.000, 5.499, 0.000], [-2.749, -2.749, 6.039]],
  "species": ["Mg", "Mg", "Cd", "Hg", "Hg", "Hg", "Hg"],
  "frac_coords": [[0.636, 0.636, 0.272], [0.364, 0.364, 0.728], [0.000, 0.000, 0.000], [0.750, 0.250, 0.500], [0.250, 0.750, 0.500], [0.500, 0.000, 0.000], [0.000, 0.500, 0.000]]
}

Entry 7:
{
  "formula": "Sm6Ho3Tm2In",
  "functional": "PBE",
  "state": "optimized geometry",
  "e_tot_ev_per_atom": -4.5096,
  "m_tot_mub_per_cell": 0.00,
  "n_ef_per_ev_atom": 1.1426,
  "lattice_angstrom": [[-6.056, 0.567, -0.916], [2.437, -5.523, 1.181], [-0.321, 3.396, 11.164]],
  "species": ["Sm", "Sm", "Sm", "Sm", "Sm", "Sm", "Ho", "Ho", "Ho", "Tm", "Tm", "In"],
  "frac_coords": [[0.918, 0.590, 0.753], [0.754, 0.754, 0.248], [0.082, 0.410, 0.247], [0.590, 0.918, 0.753], [0.246, 0.246, 0.752], [0.410, 0.082, 0.247], [0.168, 0.832, 0.500], [0.832, 0.168, 0.500], [0.500, 0.500, 0.500], [0.334, 0.666, 0.000], [0.666, 0.334, 0.000], [0.000, 0.000, 0.000]]
}

Entry 8:
{
  "formula": "NdSm3Sc2Se6",
  "functional": "PBE",
  "state": "optimized geometry",
  "e_tot_ev_per_atom": -6.1020,
  "m_tot_mub_per_cell": 0.00,
  "n_ef_per_ev_atom": 0.4872,
  "lattice_angstrom": [[7.075, -0.011, -0.002], [-3.546, 6.123, -0.002], [-1.179, -2.042, 6.698]],
  "species": ["Nd", "Sm", "Sm", "Sm", "Sc", "Sc", "Se", "Se", "Se", "Se", "Se", "Se"],
  "frac_coords": [[0.000, 0.000, 0.000], [0.157, 0.843, 0.500], [0.843, 0.157, 0.500], [0.500, 0.500, 0.500], [0.335, 0.665, 0.000], [0.665, 0.335, 0.000], [0.921, 0.569, 0.762], [0.725, 0.725, 0.230], [0.079, 0.431, 0.238], [0.569, 0.921, 0.762], [0.275, 0.275, 0.770], [0.431, 0.079, 0.238]]
}

Entry 9:
{
  "formula": "Ho3MgIn",
  "functional": "PBE",
  "state": "optimized geometry",
  "de_polymorph_ev_per_atom": 0.000,
  "e_tot_ev_per_atom": -3.8506,
  "m_tot_mub_per_cell": 0.38,
  "n_ef_per_ev_atom": 1.0538,
  "lattice_angstrom": [[4.947, 0.000, 1.131], [0.000, 5.073, 0.000], [0.090, 0.000, 10.996]],
  "species": ["Ho", "Ho", "Ho", "Ho", "Ho", "Ho", "Mg", "Mg", "In", "In"],
  "frac_coords": [[0.766, 0.250, 0.116], [0.380, 0.250, 0.889], [0.574, 0.250, 0.500], [0.268, 0.750, 0.111], [0.882, 0.750, 0.884], [0.074, 0.750, 0.500], [0.477, 0.750, 0.694], [0.171, 0.250, 0.306], [0.668, 0.750, 0.312], [0.980, 0.250, 0.688]]
}

Entry 10:
{
  "formula": "Al6Mo",
  "functional": "PBE",
  "state": "optimized geometry",
  "e_tot_ev_per_atom": -4.8853,
  "m_tot_mub_per_cell": 0.00,
  "n_ef_per_ev_atom": 0.3852,
  "lattice_angstrom": [[5.139, 0.022, 0.000], [-0.663, 5.096, 0.000], [0.000, 0.000, 9.028]],
  "species": ["Al", "Al", "Al", "Al", "Al", "Al", "Al", "Al", "Al", "Al", "Al", "Al", "Mo", "Mo"],
  "frac_coords": [[0.325, 0.675, 0.000], [0.675, 0.325, 0.500], [0.675, 0.325, 0.000], [0.325, 0.675, 0.500], [0.126, 0.126, 0.897], [0.874, 0.874, 0.397], [0.126, 0.126, 0.603], [0.874, 0.874, 0.103], [0.609, 0.967, 0.750], [0.391, 0.033, 0.250], [0.967, 0.609, 0.750], [0.033, 0.391, 0.250], [0.451, 0.451, 0.750], [0.549, 0.549, 0.250]]
}

Entry 11:
{
  "formula": "Tc2P",
  "functional": "PBE",
  "state": "optimized geometry",
  "de_polymorph_ev_per_atom": 0.489,
  "e_tot_ev_per_atom": -8.6621,
  "m_tot_mub_per_cell": 0.00,
  "n_ef_per_ev_atom": 1.0934,
  "lattice_angstrom": [[-3.594, -0.404, 2.444], [1.649, -3.484, -2.049], [2.819, -1.005, 3.978]],
  "species": ["Tc", "Tc", "Tc", "Tc", "P", "P"],
  "frac_coords": [[0.000, 0.000, 0.000], [0.000, 0.000, 0.500], [0.333, 0.667, 0.750], [0.667, 0.333, 0.250], [0.333, 0.667, 0.250], [0.667, 0.333, 0.750]]
}

Entry 12:
{
  "formula": "ZrGaB3",
  "functional": "PBE",
  "state": "optimized geometry",
  "de_polymorph_ev_per_atom": 0.000,
  "e_tot_ev_per_atom": -5.0709,
  "m_tot_mub_per_cell": 0.00,
  "n_ef_per_ev_atom": 0.4631,
  "lattice_angstrom": [[-3.444, -2.078, 0.132], [2.047, -3.426, -0.521], [0.382, -0.379, 3.989]],
  "species": ["B", "B", "B", "Ga", "Zr"],
  "frac_coords": [[0.000, 0.500, 0.000], [0.000, 0.000, 0.500], [0.500, 0.000, 0.000], [0.000, 0.000, 0.000], [0.500, 0.500, 0.500]]
}